# Sr3ThIr8 (GGA-PBE, optimized geometry)
data_Sr3ThIr8
_chemical_formula_sum 'Sr3 Th1 Ir8'
_cell_length_a 9.4705
_cell_length_b 9.4705
_cell_length_c 9.4705
_cell_angle_alpha 33.62
_cell_angle_beta 33.62
_cell_angle_gamma 33.62
_space_group_name_H-M_alt 'P 1'
_space_group_IT_number 1
_space_group_name_Hall 'P 1'
loop_
_atom_site_label
_atom_site_type_symbol
_atom_site_fract_x
_atom_site_fract_y
_atom_site_fract_z
Sr1 Sr 0.0000 0.0000 0.0000
Sr2 Sr 0.1229 0.1229 0.1229
Sr3 Sr 0.6284 0.6284 0.6284
Th1 Th 0.5007 0.5007 0.5007
Ir1 Ir 0.0632 0.0632 0.5581
Ir2 Ir 0.0632 0.5581 0.0632
Ir3 Ir 0.0683 0.5633 0.5633
Ir4 Ir 0.3133 0.3133 0.3133
Ir5 Ir 0.5581 0.0632 0.0632
Ir6 Ir 0.5633 0.0683 0.5633
Ir7 Ir 0.5633 0.5633 0.0683
Ir8 Ir 0.8130 0.8130 0.8130
# V in Å³ per atom: 19.334



# SrThIr (GGA-PBE, optimized geometry)
data_SrThIr
_chemical_formula_sum 'Sr2 Th2 Ir2'
_cell_length_a 12.8496
_cell_length_b 12.8496
_cell_length_c 4.1004
_cell_angle_alpha 90.05
_cell_angle_beta 90.05
_cell_angle_gamma 18.15
_space_group_name_H-M_alt 'P 1'
_space_group_IT_number 1
_space_group_name_Hall 'P 1'
loop_
_atom_site_label
_atom_site_type_symbol
_atom_site_fract_x
_atom_site_fract_y
_atom_site_fract_z
Sr1 Sr 0.0715 0.0715 0.2491
Sr2 Sr 0.9285 0.9285 0.7509
Th1 Th 0.3038 0.3038 0.2505
Th2 Th 0.6962 0.6962 0.7495
Ir1 Ir 0.1894 0.1894 0.2495
Ir2 Ir 0.8106 0.8106 0.7505
# V in Å³ per atom: 35.145



# SrThIr (GGA-PBE, optimized geometry)
data_SrThIr
_chemical_formula_sum 'Sr2 Th2 Ir2'
_cell_length_a 4.7205
_cell_length_b 4.7205
_cell_length_c 11.5300
_cell_angle_alpha 101.65
_cell_angle_beta 101.65
_cell_angle_gamma 59.93
_space_group_name_H-M_alt 'P 1'
_space_group_IT_number 1
_space_group_name_Hall 'P 1'
loop_
_atom_site_label
_atom_site_type_symbol
_atom_site_fract_x
_atom_site_fract_y
_atom_site_fract_z
Sr1 Sr 0.1125 0.1125 0.3419
Sr2 Sr 0.8875 0.8875 0.6581
Th1 Th 0.3688 0.3688 0.1076
Th2 Th 0.6312 0.6312 0.8924
Ir1 Ir 0.2813 0.2813 0.8413
Ir2 Ir 0.7187 0.7187 0.1587
# V in Å³ per atom: 36.039



# SrTh2Ir9 (GGA-PBE, optimized geometry)
data_SrTh2Ir9
_chemical_formula_sum 'Sr1 Th2 Ir9'
_cell_length_a 9.4055
_cell_length_b 9.4055
_cell_length_c 9.4055
_cell_angle_alpha 33.37
_cell_angle_beta 33.37
_cell_angle_gamma 33.37
_space_group_name_H-M_alt 'P 1'
_space_group_IT_number 1
_space_group_name_Hall 'P 1'
loop_
_atom_site_label
_atom_site_type_symbol
_atom_site_fract_x
_atom_site_fract_y
_atom_site_fract_z
Sr1 Sr 0.0000 0.0000 0.0000
Th1 Th 0.1372 0.1372 0.1372
Th2 Th 0.8628 0.8628 0.8628
Ir1 Ir 0.0827 0.5810 0.5810
Ir2 Ir 0.3319 0.3319 0.3319
Ir3 Ir 0.4190 0.4190 0.9173
Ir4 Ir 0.4190 0.9173 0.4190
Ir5 Ir 0.5000 0.5000 0.5000
Ir6 Ir 0.5810 0.0827 0.5810
Ir7 Ir 0.5810 0.5810 0.0827
Ir8 Ir 0.6681 0.6681 0.6681
Ir9 Ir 0.9173 0.4190 0.4190
# V in Å³ per atom: 18.678



# SrThIr4 (GGA-PBE, optimized geometry)
data_SrThIr4
_chemical_formula_sum 'Sr1 Th1 Ir4'
_cell_length_a 5.4586
_cell_length_b 5.4586
_cell_length_c 5.4586
_cell_angle_alpha 60.00
_cell_angle_beta 60.00
_cell_angle_gamma 60.00
_space_group_name_H-M_alt 'P 1'
_space_group_IT_number 1
_space_group_name_Hall 'P 1'
loop_
_atom_site_label
_atom_site_type_symbol
_atom_site_fract_x
_atom_site_fract_y
_atom_site_fract_z
Sr1 Sr 0.0000 0.0000 0.0000
Th1 Th 0.7500 0.7500 0.7500
Ir1 Ir 0.3748 0.3748 0.3748
Ir2 Ir 0.3748 0.3748 0.8755
Ir3 Ir 0.3748 0.8755 0.3748
Ir4 Ir 0.8755 0.3748 0.3748
# V in Å³ per atom: 19.168



# SrTh3Ir8 (GGA-PBE, optimized geometry)
data_SrTh3Ir8
_chemical_formula_sum 'Sr1 Th3 Ir8'
_cell_length_a 9.4499
_cell_length_b 9.4499
_cell_length_c 9.4499
_cell_angle_alpha 33.59
_cell_angle_beta 33.59
_cell_angle_gamma 33.59
_space_group_name_H-M_alt 'P 1'
_space_group_IT_number 1
_space_group_name_Hall 'P 1'
loop_
_atom_site_label
_atom_site_type_symbol
_atom_site_fract_x
_atom_site_fract_y
_atom_site_fract_z
Sr1 Sr 0.0000 0.0000 0.0000
Th1 Th 0.1235 0.1235 0.1235
Th2 Th 0.5030 0.5030 0.5030
Th3 Th 0.6291 0.6291 0.6291
Ir1 Ir 0.0637 0.0637 0.5595
Ir2 Ir 0.0637 0.5595 0.0637
Ir3 Ir 0.0687 0.5631 0.5631
Ir4 Ir 0.3138 0.3138 0.3138
Ir5 Ir 0.5595 0.0637 0.0637
Ir6 Ir 0.5631 0.0687 0.5631
Ir7 Ir 0.5631 0.5631 0.0687
Ir8 Ir 0.8136 0.8136 0.8136
# V in Å³ per atom: 19.169



# Sr2ThIr9 (GGA-PBE, optimized geometry)
data_Sr2ThIr9
_chemical_formula_sum 'Sr2 Th1 Ir9'
_cell_length_a 9.4459
_cell_length_b 9.4459
_cell_length_c 9.4459
_cell_angle_alpha 33.22
_cell_angle_beta 33.22
_cell_angle_gamma 33.22
_space_group_name_H-M_alt 'P 1'
_space_group_IT_number 1
_space_group_name_Hall 'P 1'
loop_
_atom_site_label
_atom_site_type_symbol
_atom_site_fract_x
_atom_site_fract_y
_atom_site_fract_z
Sr1 Sr 0.1426 0.1426 0.1426
Sr2 Sr 0.8574 0.8574 0.8574
Th1 Th 0.0000 0.0000 0.0000
Ir1 Ir 0.0855 0.5766 0.5766
Ir2 Ir 0.3317 0.3317 0.3317
Ir3 Ir 0.4234 0.4234 0.9145
Ir4 Ir 0.4234 0.9145 0.4234
Ir5 Ir 0.5000 0.5000 0.5000
Ir6 Ir 0.5766 0.0855 0.5766
Ir7 Ir 0.5766 0.5766 0.0855
Ir8 Ir 0.6683 0.6683 0.6683
Ir9 Ir 0.9145 0.4234 0.4234
# V in Å³ per atom: 18.771



# SrTiIr2 (GGA-PBE, optimized geometry)
data_SrTiIr2
_chemical_formula_sum 'Sr2 Ti2 Ir4'
_cell_length_a 6.0447
_cell_length_b 6.0447
_cell_length_c 6.0447
_cell_angle_alpha 104.84
_cell_angle_beta 104.84
_cell_angle_gamma 119.20
_space_group_name_H-M_alt 'P 1'
_space_group_IT_number 1
_space_group_name_Hall 'P 1'
loop_
_atom_site_label
_atom_site_type_symbol
_atom_site_fract_x
_atom_site_fract_y
_atom_site_fract_z
Sr1 Sr 0.0000 0.0000 0.0000
Sr2 Sr 0.7500 0.2500 0.5000
Ti1 Ti 0.2500 0.7500 0.5000
Ti2 Ti 0.5000 0.5000 0.0000
Ir1 Ir 0.1813 0.1250 0.5563
Ir2 Ir 0.3750 0.8187 0.9437
Ir3 Ir 0.5687 0.6250 0.4437
Ir4 Ir 0.8750 0.4313 0.0563
# V in Å³ per atom: 20.786



# SrTi3Ir (GGA-PBE, optimized geometry)
data_SrTi3Ir
_chemical_formula_sum 'Sr1 Ti3 Ir1'
_cell_length_a 4.5851
_cell_length_b 4.5851
_cell_length_c 4.5851
_cell_angle_alpha 90.00
_cell_angle_beta 90.00
_cell_angle_gamma 90.00
_space_group_name_H-M_alt 'P 1'
_space_group_IT_number 1
_space_group_name_Hall 'P 1'
loop_
_atom_site_label
_atom_site_type_symbol
_atom_site_fract_x
_atom_site_fract_y
_atom_site_fract_z
Sr1 Sr 0.0000 0.0000 0.0000
Ti1 Ti 0.0000 0.0000 0.5000
Ti2 Ti 0.0000 0.5000 0.0000
Ti3 Ti 0.5000 0.0000 0.0000
Ir1 Ir 0.5000 0.5000 0.5000
# V in Å³ per atom: 19.279



# SrTiIr2 (GGA-PBE, optimized geometry)
data_SrTiIr2
_chemical_formula_sum 'Sr1 Ti1 Ir2'
_cell_length_a 4.7088
_cell_length_b 4.7088
_cell_length_c 4.7088
_cell_angle_alpha 60.00
_cell_angle_beta 60.00
_cell_angle_gamma 60.00
_space_group_name_H-M_alt 'P 1'
_space_group_IT_number 1
_space_group_name_Hall 'P 1'
loop_
_atom_site_label
_atom_site_type_symbol
_atom_site_fract_x
_atom_site_fract_y
_atom_site_fract_z
Sr1 Sr 0.0000 0.0000 0.0000
Ti1 Ti 0.5000 0.5000 0.5000
Ir1 Ir 0.2500 0.2500 0.2500
Ir2 Ir 0.7500 0.7500 0.7500
# V in Å³ per atom: 18.456



# SrTiIr (GGA-PBE, optimized geometry)
data_SrTiIr
_chemical_formula_sum 'Sr2 Ti2 Ir2'
_cell_length_a 4.3220
_cell_length_b 4.3220
_cell_length_c 8.1742
_cell_angle_alpha 90.00
_cell_angle_beta 90.00
_cell_angle_gamma 90.00
_space_group_name_H-M_alt 'P 1'
_space_group_IT_number 1
_space_group_name_Hall 'P 1'
loop_
_atom_site_label
_atom_site_type_symbol
_atom_site_fract_x
_atom_site_fract_y
_atom_site_fract_z
Sr1 Sr 0.2500 0.2500 0.1648
Sr2 Sr 0.7500 0.7500 0.8352
Ti1 Ti 0.2500 0.7500 0.5000
Ti2 Ti 0.7500 0.2500 0.5000
Ir1 Ir 0.2500 0.2500 0.6634
Ir2 Ir 0.7500 0.7500 0.3366
# V in Å³ per atom: 25.448



# SrTi3Ir (GGA-PBE, optimized geometry)
data_SrTi3Ir
_chemical_formula_sum 'Sr1 Ti3 Ir1'
_cell_length_a 4.9154
_cell_length_b 4.9154
_cell_length_c 4.9154
_cell_angle_alpha 90.00
_cell_angle_beta 90.00
_cell_angle_gamma 90.00
_space_group_name_H-M_alt 'P 1'
_space_group_IT_number 1
_space_group_name_Hall 'P 1'
loop_
_atom_site_label
_atom_site_type_symbol
_atom_site_fract_x
_atom_site_fract_y
_atom_site_fract_z
Sr1 Sr 0.0000 0.0000 0.0000
Ti1 Ti 0.0000 0.5000 0.5000
Ti2 Ti 0.5000 0.0000 0.5000
Ti3 Ti 0.5000 0.5000 0.0000
Ir1 Ir 0.5000 0.5000 0.5000
# V in Å³ per atom: 23.753



Number 1: calculated formation energy -0.430 eV per atom. Number 2: calculated formation energy -0.609 eV per atom. Number 3: calculated formation energy -0.520 eV per atom. Number 4: calculated formation energy -0.505 eV per atom. Number 5: calculated formation energy -0.583 eV per atom. Number 6: calculated formation energy -0.702 eV per atom. Number 7: calculated formation energy -0.343 eV per atom. Number 8: calculated formation energy 0.025 eV per atom. Number 9: calculated formation energy 1.963 eV per atom. Number 10: calculated formation energy -0.008 eV per atom. Number 11: calculated formation energy -0.523 eV per atom. Number 12: calculated formation energy 0.172 eV per atom.